1.
# AgAsOs2, optimized geometry, DFT PBE
data_AgAsOs2
_chemical_formula_sum 'Ag3 As3 Os6'
_space_group_name_H-M_alt 'R 3 m'
_space_group_IT_number 160
_space_group_name_Hall 'R 3 -2"'
_cell_length_a 2.8448
_cell_length_b 2.8448
_cell_length_c 27.2600
_cell_angle_alpha 90.00
_cell_angle_beta 90.00
_cell_angle_gamma 120.00
loop_
_atom_site_label
_atom_site_type_symbol
_atom_site_fract_x
_atom_site_fract_y
_atom_site_fract_z
Ag1 Ag 0.0000 0.0000 0.0000
As1 As 0.0000 0.0000 0.7602
Os1 Os 0.0000 0.0000 0.2446
Os2 Os 0.0000 0.0000 0.5019
# * formation enthalpy at 0 K: 36 kJ/mol of atoms
# * electronic total energy: -7.119 eV/atom
# * total magnetization: 0.0 μB per cell


2.
# K7Rb3O, optimized geometry, DFT PBE
data_K7Rb3O
_chemical_formula_sum 'K14 Rb6 O2'
_space_group_name_H-M_alt 'C 1 m 1'
_space_group_IT_number 8
_cell_length_a 10.521
_cell_length_b 12.514
_cell_length_c 12.081
_cell_angle_alpha 90.00
_cell_angle_beta 114.09
_cell_angle_gamma 90.00
loop_
_space_group_symop_operation_xyz
'x,y,z'
'x,-y,z'
'x+1/2,y+1/2,z'
'x+1/2,-y+1/2,z'
loop_
_atom_site_label
_atom_site_type_symbol
_atom_site_fract_x
_atom_site_fract_y
_atom_site_fract_z
K1 K 0.000 0.000 0.000
K2 K 0.045 0.346 0.830
K3 K 0.147 0.500 0.609
K4 K 0.204 0.000 0.727
K5 K 0.306 0.153 0.503
Rb1 Rb 0.345 0.500 0.326
Rb2 Rb 0.418 0.185 0.161
O1 O 0.425 0.000 0.666
# * ΔE_f (raw): -0.275 eV/atom
# * electronic total energy: -1.688 eV/atom
# * total magnetization: 0.0 μB per cell